The following is a PBE-GGA calculation of a geometry-optimized GaAsW structure, from OQMD via LeMat-Bulk.

a = 6.1082 Å, b = 6.1082 Å, c = 6.1082 Å
α = 90.00°, β = 90.00°, γ = 90.00°
Last column: nearest neighbours and their distance in Å.
Space group F-43m (No. 216)
One atom of each set of equivalent atoms:
Ga1 0.0000 0.0000 0.0000 (multiplicity 4)  4 W 2.64
As1 0.0000 0.0000 0.5000 (multiplicity 4)  4 W 2.64
W1 0.2500 0.2500 0.7500 (multiplicity 4)  4 As 2.64, 4 Ga 2.64

## Properties
Volume, A^3/atom: 18.992
E above lowest polymorph, eV/atom: 0.000

The following is a PBE-GGA calculation of a geometry-optimized Na2BiPd3 structure, from OQMD via LeMat-Bulk.

a = 5.6618 Å, b = 5.6618 Å, c = 8.8075 Å
α = 90.00°, β = 90.00°, γ = 120.00°
Last column: nearest neighbours and their distance in Å.
Space group P6_3/mmc (No. 194)
One atom of each set of equivalent atoms:
Na1 0.3333 0.6667 0.0725 (multiplicity 4)  1 Na 3.13, 9 Pd 3.23-3.24, 3 Bi 3.33
Bi1 0.0000 0.0000 0.0000 (multiplicity 2)  6 Pd 2.78
Pd1 0.1734 0.3468 0.7500 (multiplicity 6)  4 Pd 2.72-2.95, 2 Bi 2.78

## Properties
Volume, A^3/atom: 20.375
Final energy, eV/atom: -3.980

The following is a PBE-GGA calculation of a geometry-optimized ZrUPd structure, from OQMD via LeMat-Bulk.

a = 6.5119 Å, b = 6.5119 Å, c = 6.5119 Å
α = 90.00°, β = 90.00°, γ = 90.00°
Last column: nearest neighbours and their distance in Å.
Space group F-43m (No. 216)
One atom of each set of equivalent atoms:
Zr1 0.0000 0.0000 0.0000 (multiplicity 4)  4 U 2.82
U1 0.2500 0.2500 0.2500 (multiplicity 4)  4 Zr 2.82, 4 Pd 2.82
Pd1 0.0000 0.0000 0.5000 (multiplicity 4)  4 U 2.82

## Properties
Volume, A^3/atom: 23.011
Formation energy from the elements, meV per atom: 583
E above lowest polymorph, eV/atom: 0.282

The following is a PBE-GGA calculation of a geometry-optimized ThCuIr structure, from OQMD via LeMat-Bulk.

a = 6.5113 Å, b = 6.5113 Å, c = 6.5113 Å
α = 90.00°, β = 90.00°, γ = 90.00°
Last column: nearest neighbours and their distance in Å.
Space group F-43m (No. 216)
One atom of each set of equivalent atoms:
Th1 0.0000 0.0000 0.0000 (multiplicity 4)  4 Ir 2.82
Cu1 0.0000 0.0000 0.5000 (multiplicity 4)  4 Ir 2.82
Ir1 0.2500 0.2500 0.7500 (multiplicity 4)  4 Cu 2.82, 4 Th 2.82

## Properties
Volume, A^3/atom: 23.005
Formation energy from the elements, meV per atom: -343
E above lowest polymorph, eV/atom: 0.000

The following is a PBE-GGA calculation of a geometry-optimized GaCuBi2 structure, from OQMD via LeMat-Bulk.

a = 7.3633 Å, b = 7.3633 Å, c = 7.3633 Å
α = 90.00°, β = 90.00°, γ = 90.00°
Last column: nearest neighbours and their distance in Å.
Space group F-43m (No. 216)
One atom of each set of equivalent atoms:
Ga1 0.0000 0.0000 0.0000 (multiplicity 4)  4 Bi 3.19, 4 Cu 3.19
Cu1 0.2500 0.2500 0.2500 (multiplicity 4)  4 Bi 3.19, 4 Ga 3.19
Bi1 0.0000 0.0000 0.5000 (multiplicity 4)  4 Bi 3.19, 4 Cu 3.19
Bi2 0.2500 0.2500 0.7500 (multiplicity 4)  4 Bi 3.19, 4 Ga 3.19

## Properties
Volume, A^3/atom: 24.952
Final energy, eV/atom: -3.369

The following is a PBE-GGA calculation of a geometry-optimized RbPmY structure, from OQMD via LeMat-Bulk.

a = 8.5466 Å, b = 8.5466 Å, c = 8.5466 Å
α = 90.00°, β = 90.00°, γ = 90.00°
Last column: nearest neighbours and their distance in Å.
Space group F-43m (No. 216)
One atom of each set of equivalent atoms:
Rb1 0.0000 0.0000 0.0000 (multiplicity 4)  4 Y 3.70
Pm1 0.0000 0.0000 0.5000 (multiplicity 4)  4 Y 3.70
Y1 0.2500 0.2500 0.7500 (multiplicity 4)  4 Pm 3.70, 4 Rb 3.70

## Properties
Volume, A^3/atom: 52.024
Final energy, eV/atom: -2.845

The following is a PBE-GGA calculation of a geometry-optimized NaCdSn structure, from OQMD via LeMat-Bulk.

a = 5.0118 Å, b = 6.1862 Å, c = 6.1945 Å
α = 88.65°, β = 66.41°, γ = 66.27°
Last column: nearest neighbours and their distance in Å.
Space group P1 (No. 1)
One atom of each set of equivalent atoms:
Na1 0.0000 0.0000 0.0000 (multiplicity 1)  6 Cd 3.33-3.45, 6 Sn 3.49-3.52, 2 Na 3.70-3.71
Na2 0.4997 0.4366 0.5638 (multiplicity 1)  6 Sn 3.37-3.42, 6 Cd 3.41-3.60, 2 Na 3.70-3.71
Cd1 0.2757 0.0287 0.4170 (multiplicity 1)  3 Sn 2.90-2.91
Cd2 0.7239 0.5829 0.9710 (multiplicity 1)  3 Sn 2.91
Sn1 0.2080 0.4298 0.1570 (multiplicity 1)  3 Cd 2.90-2.91, 1 Sn 3.03
Sn2 0.7924 0.8431 0.5701 (multiplicity 1)  3 Cd 2.90-2.91, 1 Sn 3.03

## Properties
Volume, A^3/atom: 26.492
E above lowest polymorph, eV/atom: 0.000

The following is a PBE-GGA calculation of a geometry-optimized RePtN structure, from OQMD via LeMat-Bulk.

a = 2.8012 Å, b = 2.8012 Å, c = 5.5641 Å
α = 90.00°, β = 90.00°, γ = 120.00°
Last column: nearest neighbours and their distance in Å.
Space group P3m1 (No. 156)
One atom of each set of equivalent atoms:
Re1 0.0000 0.0000 0.0000 (multiplicity 1)  3 N 2.05
Pt1 0.6667 0.3333 0.3990 (multiplicity 1)  1 N 2.09
N1 0.6667 0.3333 0.7744 (multiplicity 1)  3 Re 2.05, 1 Pt 2.09

## Properties
Volume, A^3/atom: 12.603
Final energy, eV/atom: -8.928

The following is a PBE-GGA calculation of a geometry-optimized TmPaPO structure, from OQMD via LeMat-Bulk.

a = 4.0782 Å, b = 7.8624 Å, c = 5.4159 Å
α = 90.00°, β = 90.00°, γ = 90.00°
Last column: nearest neighbours and their distance in Å.
Space group Pmc2_1 (No. 26)
One atom of each set of equivalent atoms:
Tm1 0.0000 0.2087 0.0000 (multiplicity 2)  2 O 2.23
Pa1 0.5000 0.3745 0.5003 (multiplicity 2)  1 O 2.37
P1 0.0000 0.1392 0.5002 (multiplicity 2)  3 Tm 2.74-2.76, 2 Pa 2.75
O1 0.5000 0.3245 0.9987 (multiplicity 2)  2 Tm 2.23, 1 Pa 2.37

## Properties
Volume, A^3/atom: 21.707
E above lowest polymorph, eV/atom: 0.000

The following is a PBE-GGA calculation of a geometry-optimized NdDyIn2Pd4 structure, from OQMD via LeMat-Bulk.

a = 4.6141 Å, b = 4.6141 Å, c = 9.0491 Å
α = 90.00°, β = 90.00°, γ = 120.00°
Last column: nearest neighbours and their distance in Å.
Space group P-6m2 (No. 187)
One atom of each set of equivalent atoms:
Nd1 0.0000 0.0000 0.0000 (multiplicity 1)  8 Pd 3.08
Dy1 0.3333 0.6667 0.5000 (multiplicity 1)  8 Pd 2.99-3.03
In1 0.6667 0.3333 0.2565 (multiplicity 2)  6 Pd 2.77-2.78
Pd1 0.0000 0.0000 0.3409 (multiplicity 2)  3 In 2.77, 4 Pd 2.88-3.08, 3 Dy 3.03, 1 Nd 3.08
Pd2 0.3333 0.6667 0.1699 (multiplicity 2)  3 In 2.78, 1 Dy 2.99, 4 Pd 3.07-3.08, 3 Nd 3.08

## Properties
Volume, A^3/atom: 20.855
Final energy, eV/atom: -5.247

The following is a PBE-GGA calculation of a geometry-optimized NdAgGeTeSe2 structure, from OQMD via LeMat-Bulk.

a = 4.1136 Å, b = 13.7503 Å, c = 11.4438 Å
α = 90.00°, β = 90.00°, γ = 90.00°
Last column: nearest neighbours and their distance in Å.
Space group Cmcm (No. 63)
One atom of each set of equivalent atoms:
Nd1 0.0000 0.0000 0.0000 (multiplicity 4)  4 Se 2.98, 2 Te 3.30
Ag1 0.0000 0.4792 0.2500 (multiplicity 4)  2 Se 2.64, 2 Te 2.83
Ge1 0.0000 0.2083 0.7500 (multiplicity 4)  4 Se 3.02, 2 Te 3.13, 2 Ag 3.30
Te1 0.0000 0.1203 0.2500 (multiplicity 4)  2 Ag 2.83, 2 Ge 3.13
Se1 0.0000 0.3559 0.0733 (multiplicity 8)  1 Ag 2.64

## Properties
Volume, A^3/atom: 26.971
Final energy, eV/atom: -4.421

The following is a PBE-GGA calculation of a geometry-optimized HoErZn2Pb2 structure, from OQMD via LeMat-Bulk.

a = 4.5785 Å, b = 4.5785 Å, c = 15.9133 Å
α = 90.00°, β = 90.00°, γ = 120.00°
Last column: nearest neighbours and their distance in Å.
Space group P6_3/mmc (No. 194)
One atom of each set of equivalent atoms:
Ho1 0.0000 0.0000 0.0000 (multiplicity 2)  6 Pb 3.16
Er1 0.0000 0.0000 0.2500 (multiplicity 2)  6 Zn 2.96
Zn1 0.3333 0.6667 0.1658 (multiplicity 4)  1 Zn 2.68, 3 Pb 2.79, 3 Er 2.96
Pb1 0.3333 0.6667 0.6094 (multiplicity 4)  3 Zn 2.79

## Properties
Volume, A^3/atom: 24.074
Final energy, eV/atom: -3.556

The following is a PBE-GGA calculation of a geometry-optimized KOsAuSeS2 structure, from OQMD via LeMat-Bulk.

a = 3.4396 Å, b = 16.7876 Å, c = 9.9106 Å
α = 90.00°, β = 90.00°, γ = 90.00°
Last column: nearest neighbours and their distance in Å.
Space group Cmcm (No. 63)
One atom of each set of equivalent atoms:
K1 0.0000 0.2125 0.2500 (multiplicity 4)  2 S 3.26, 2 Au 3.28, 2 Se 3.30, 2 K 3.44
Os1 0.0000 0.5000 0.0000 (multiplicity 4)  4 S 2.41, 2 Se 2.59
Au1 0.0000 0.1209 0.7500 (multiplicity 4)  2 S 2.32
Se1 0.0000 0.4554 0.7500 (multiplicity 4)  2 Os 2.59
S1 0.0000 0.1004 0.5184 (multiplicity 8)  1 Au 2.32, 2 Os 2.41

## Properties
Volume, A^3/atom: 23.844
Final energy, eV/atom: -4.758

The following is a PBE-GGA calculation of a geometry-optimized CuSiNiB structure, from OQMD via LeMat-Bulk.

a = 5.5103 Å, b = 5.5103 Å, c = 5.5103 Å
α = 90.00°, β = 90.00°, γ = 90.00°
Last column: nearest neighbours and their distance in Å.
Space group F-43m (No. 216)
One atom of each set of equivalent atoms:
Cu1 0.0000 0.0000 0.0000 (multiplicity 4)  4 Ni 2.39, 4 B 2.39
Si1 0.0000 0.0000 0.5000 (multiplicity 4)  4 B 2.39, 4 Ni 2.39
Ni1 0.2500 0.2500 0.2500 (multiplicity 4)  4 Cu 2.39, 4 Si 2.39
B1 0.2500 0.2500 0.7500 (multiplicity 4)  4 Cu 2.39, 4 Si 2.39

## Properties
Volume, A^3/atom: 10.457
E above lowest polymorph, eV/atom: 0.107

The following is a PBE-GGA calculation of a geometry-optimized GdCu4Ag structure, from OQMD via LeMat-Bulk.

a = 7.1607 Å, b = 7.1607 Å, c = 7.1607 Å
α = 90.00°, β = 90.00°, γ = 90.00°
Last column: nearest neighbours and their distance in Å.
Space group F-43m (No. 216)
One atom of each set of equivalent atoms:
Gd1 0.0000 0.0000 0.0000 (multiplicity 4)  12 Cu 2.97, 4 Ag 3.10
Cu1 0.1239 0.1239 0.3761 (multiplicity 16)  6 Cu 2.51-2.55
Ag1 0.2500 0.2500 0.7500 (multiplicity 4)  12 Cu 2.97, 4 Gd 3.10

## Properties
Volume, A^3/atom: 15.299
Formation energy from the elements, meV per atom: -230

The following is a PBE-GGA calculation of a geometry-optimized PmYNO structure, from OQMD via LeMat-Bulk.

a = 4.9609 Å, b = 4.0207 Å, c = 7.0441 Å
α = 90.00°, β = 90.00°, γ = 90.00°
Last column: nearest neighbours and their distance in Å.
Space group Pmma (No. 51)
One atom of each set of equivalent atoms:
Pm1 0.2500 0.0000 0.1641 (multiplicity 2)  2 N 2.37, 3 O 2.46-2.49
Y1 0.2500 0.5000 0.6641 (multiplicity 2)  3 N 2.27-2.48, 2 O 2.27
N1 0.2500 0.5000 0.3425 (multiplicity 2)  3 Y 2.27-2.48, 2 Pm 2.37
O1 0.2500 0.0000 0.8142 (multiplicity 2)  2 Y 2.27, 3 Pm 2.46-2.49

## Properties
Volume, A^3/atom: 17.563
E above lowest polymorph, eV/atom: 0.046

The following is a PBE-GGA calculation of a geometry-optimized Pt2Se3S structure, from OQMD via LeMat-Bulk.

a = 6.2140 Å, b = 3.5873 Å, c = 22.4084 Å
α = 90.00°, β = 90.00°, γ = 90.00°
Last column: nearest neighbours and their distance in Å.
Space group Cm (No. 8)
One atom of each set of equivalent atoms:
Pt1 0.0000 0.0000 0.0000 (multiplicity 2)  6 Se 2.56
Pt2 0.0000 0.5000 0.4958 (multiplicity 2)  3 S 2.43, 3 Se 2.59
Se1 0.3333 0.0000 0.0669 (multiplicity 2)  3 Pt 2.56
Se2 0.3333 0.0000 0.9330 (multiplicity 2)  3 Pt 2.56
Se3 0.3333 0.5000 0.5654 (multiplicity 2)  3 Pt 2.59, 1 S 2.84
S1 0.3333 0.5000 0.4387 (multiplicity 2)  3 Pt 2.43

## Properties
Volume, A^3/atom: 41.626
E above lowest polymorph, eV/atom: 0.004

The following is a PBE-GGA calculation of a geometry-optimized Gd2DyGa3Ge2Pd structure, from OQMD via LeMat-Bulk.

a = 4.2558 Å, b = 12.2019 Å, c = 7.0664 Å
α = 90.00°, β = 90.00°, γ = 90.00°
Last column: nearest neighbours and their distance in Å.
Space group Amm2 (No. 38)
One atom of each set of equivalent atoms:
Gd1 0.0000 0.2050 0.0000 (multiplicity 4)  1 Pd 2.90, 4 Ge 3.02
Dy1 0.0000 0.0000 0.6147 (multiplicity 2)  1 Pd 2.87, 4 Ge 3.00
Ga1 0.5000 0.0000 0.9685 (multiplicity 2)  2 Pd 2.72, 2 Ge 2.75, 2 Ga 2.90
Ga2 0.5000 0.1183 0.3244 (multiplicity 4)  2 Pd 2.70, 2 Ge 2.75-2.77, 2 Ga 2.89-2.90
Ge1 0.5000 0.1654 0.7050 (multiplicity 4)  3 Ga 2.75-2.77, 2 Dy 3.00, 4 Gd 3.02
Pd1 0.0000 0.0000 0.2079 (multiplicity 2)  6 Ga 2.70-2.72, 1 Dy 2.87, 2 Gd 2.90

## Properties
Volume, A^3/atom: 20.386
Final energy, eV/atom: -4.945

The following is a PBE-GGA calculation of a geometry-optimized Pr5SiSe4 structure, from OQMD via LeMat-Bulk.

a = 9.5895 Å, b = 9.5895 Å, c = 6.0359 Å
α = 90.00°, β = 90.00°, γ = 90.00°
Last column: nearest neighbours and their distance in Å.
Space group I4/m (No. 87)
One atom of each set of equivalent atoms:
Pr1 0.0000 0.0000 0.0000 (multiplicity 2)  2 Si 3.02, 4 Se 3.04
Pr2 0.0960 0.7092 0.5000 (multiplicity 8)  1 Si 2.94, 5 Se 3.02-3.11
Si1 0.0000 0.0000 0.5000 (multiplicity 2)  6 Pr 2.94-3.02
Se1 0.0988 0.6988 0.0000 (multiplicity 8)  6 Pr 3.02-3.11

## Properties
Volume, A^3/atom: 27.753
Final energy, eV/atom: -6.002

The following is a PBE-GGA calculation of a geometry-optimized HfScAg structure, from OQMD via LeMat-Bulk.

a = 6.5763 Å, b = 6.5763 Å, c = 6.5763 Å
α = 90.00°, β = 90.00°, γ = 90.00°
Last column: nearest neighbours and their distance in Å.
Space group F-43m (No. 216)
One atom of each set of equivalent atoms:
Hf1 0.0000 0.0000 0.0000 (multiplicity 4)  4 Ag 2.85
Sc1 0.0000 0.0000 0.5000 (multiplicity 4)  4 Ag 2.85
Ag1 0.2500 0.2500 0.2500 (multiplicity 4)  4 Hf 2.85, 4 Sc 2.85

## Properties
Volume, A^3/atom: 23.701
Formation energy from the elements, meV per atom: 374
E above lowest polymorph, eV/atom: 0.000